## La2SiSb (SCAN)

Data for a PBEsol-optimized structure of La2SiSb.

## Properties
DOS at the Fermi energy   2.08 states/eV per cell
M_tot   0.55 μB per formula unit
Space-group type   No. 139
Formation energy without anion corrections   -0.806 eV/atom
Uncorrected energy   -2.5120 Ry per atom

Cell lengths 5.187, 5.187, 5.187 Å; angles 113.16, 113.16, 102.32 degrees
Fractional coordinates of all 4 atoms:
1 La 0.250 0.750 0.500
2 La 0.750 0.250 0.500
3 Si 0.000 0.000 0.000
4 Sb 0.500 0.500 0.000

***

## LaSi2Sb (SCAN)

Data for a PBEsol-optimized structure of LaSi2Sb.

## Properties
DOS at the Fermi energy   2.43 states/eV per cell
M_tot   0.00 μB per formula unit
Space-group type   No. 99
Formation energy without anion corrections   -0.121 eV/atom
Uncorrected energy   -1.8537 Ry per atom

Cell lengths 3.762, 3.762, 6.257 Å; angles 90.00, 90.00, 90.00 degrees
Fractional coordinates of all 4 atoms:
1 La 0.000 0.000 0.000
2 Si 0.000 0.000 0.525
3 Si 0.500 0.500 0.713
4 Sb 0.500 0.500 0.303

***

## La2SiSb (SCAN)

Data for a PBEsol-optimized structure of La2SiSb.

## Properties
DOS at the Fermi energy   3.79 states/eV per cell
M_tot   0.00 μB per formula unit
Space-group type   No. 99
Formation energy without anion corrections   -0.287 eV/atom
Uncorrected energy   -2.4738 Ry per atom

Cell lengths 3.620, 3.620, 8.582 Å; angles 90.00, 90.00, 90.00 degrees
Fractional coordinates of all 4 atoms:
1 La 0.000 0.000 0.000
2 La 0.500 0.500 0.392
3 Si 0.000 0.000 0.615
4 Sb 0.500 0.500 0.762

***

## LaSi2Sb (SCAN)

Data for a PBEsol-optimized structure of LaSi2Sb.

## Properties
DOS at the Fermi energy   7.33 states/eV per cell
M_tot   0.00 μB per formula unit
Space-group type   No. 122
Formation energy without anion corrections   0.041 eV/atom
Uncorrected energy   -1.8418 Ry per atom

Cell lengths 6.362, 6.362, 6.362 Å; angles 104.20, 104.20, 120.63 degrees
Fractional coordinates of all 8 atoms:
1 La 0.000 0.000 0.000
2 La 0.750 0.250 0.500
3 Si 0.153 0.625 0.028
4 Si 0.375 0.403 0.528
5 Si 0.597 0.125 0.972
6 Si 0.875 0.847 0.472
7 Sb 0.250 0.750 0.500
8 Sb 0.500 0.500 0.000

***

## SrLa2Sb2 (SCAN)

Data for a PBEsol-optimized structure of SrLa2Sb2.

## Properties
DOS at the Fermi energy   6.71 states/eV per cell
M_tot   0.00 μB per formula unit
Space-group type   No. 127
Formation energy without anion corrections   -1.143 eV/atom
Uncorrected energy   -2.7741 Ry per atom

Cell lengths 8.657, 8.657, 4.324 Å; angles 90.00, 90.00, 90.00 degrees
Fractional coordinates of all 10 atoms:
1 Sr 0.000 0.000 0.000
2 Sr 0.500 0.500 0.000
3 La 0.151 0.349 0.500
4 La 0.349 0.849 0.500
5 La 0.651 0.151 0.500
6 La 0.849 0.651 0.500
7 Sb 0.149 0.649 0.000
8 Sb 0.351 0.149 0.000
9 Sb 0.649 0.851 0.000
10 Sb 0.851 0.351 0.000

***

## SrLaSb (SCAN)

Data for a PBEsol-optimized structure of SrLaSb.

## Properties
DOS at the Fermi energy   2.52 states/eV per cell
M_tot   0.00 μB per formula unit
Space-group type   No. 156
Formation energy without anion corrections   -0.583 eV/atom
Uncorrected energy   -2.5575 Ry per atom

Cell lengths 5.154, 5.154, 4.419 Å; angles 90.00, 90.00, 120.00 degrees
Fractional coordinates of all 3 atoms:
1 Sr 0.000 0.000 0.000
2 La 0.667 0.333 0.438
3 Sb 0.333 0.667 0.707